# 1
Computed, not measured: a relaxed structure of ZnPd3Pt at the PBE-GGA level of DFT.

Values from the calculation:
DFT formation energy ... 0.950 eV/atom
D(E_F) ... 6.3 states/eV per cell
Energy relative to the lowest polymorph listed for this composition ... 1219.3 meV/atom

Cell lengths 4.9012, 4.9012, 4.9012 Å; angles 90.00, 90.00, 90.00 degrees
Space group Pm-3m (No. 221)
One atom of each set of equivalent atoms:
Zn1 0.0000 0.0000 0.0000
Pd1 0.0000 0.5000 0.5000
Pt1 0.5000 0.5000 0.5000

# 2
Computed, not measured: a relaxed structure of ZnPd4Pt at the PBE-GGA level of DFT.

Values from the calculation:
DFT formation energy ... -0.142 eV/atom
D(E_F) ... 17.7 states/eV per cell
Energy relative to the lowest polymorph listed for this composition ... 12.3 meV/atom

Cell lengths 8.9784, 2.7495, 7.5087 Å; angles 90.00, 90.00, 90.00 degrees
Space group Pmma (No. 51)
One atom of each set of equivalent atoms:
Zn1 0.2500 0.0000 0.0545
Pd1 0.0000 0.0000 0.5000
Pd2 0.0041 0.5000 0.8271
Pd3 0.2500 0.5000 0.3664
Pt1 0.2500 0.0000 0.7075

# 3
Computed, not measured: a relaxed structure of ZnPdPt4 at the PBE-GGA level of DFT.

Values from the calculation:
DFT formation energy ... -0.053 eV/atom
D(E_F) ... 24.7 states/eV per cell
Energy relative to the lowest polymorph listed for this composition ... 147.7 meV/atom

Cell lengths 11.5206, 7.2764, 4.7507 Å; angles 90.00, 104.10, 90.00 degrees
Space group C2/m (No. 12)
One atom of each set of equivalent atoms:
Zn1 0.0690 0.0000 0.2559
Pd1 0.2003 0.5000 0.6178
Pt1 0.0000 0.2856 0.5000
Pt2 0.1260 0.3173 0.0718
Pt3 0.1637 0.0000 0.7960

# 4
Computed, not measured: a relaxed structure of Zn4PdPt at the PBE-GGA level of DFT.

Values from the calculation:
DFT formation energy ... -0.409 eV/atom
D(E_F) ... 4.1 states/eV per cell
Energy relative to the lowest polymorph listed for this composition ... 0.0 meV/atom

Cell lengths 8.7768, 3.7137, 5.6673 Å; angles 90.00, 109.08, 90.00 degrees
Space group C2/m (No. 12)
One atom of each set of equivalent atoms:
Zn1 0.1635 0.0000 0.3315
Zn2 0.1659 0.0000 0.8337
Pd1 0.0000 0.5000 0.5000
Pt1 0.0000 0.5000 0.0000

# 5
Computed, not measured: a relaxed structure of Zn7Pd2Pt3 at the PBE-GGA level of DFT.

Values from the calculation:
DFT formation energy ... -0.325 eV/atom
D(E_F) ... 8.1 states/eV per cell

Cell lengths 4.1992, 22.7576, 3.9825 Å; angles 90.00, 90.00, 90.00 degrees
Space group Cmmm (No. 65)
One atom of each set of equivalent atoms:
Zn1 0.0000 0.0000 0.0000
Zn2 0.0000 0.0810 0.5000
Zn3 0.0000 0.2775 0.0000
Zn4 0.0000 0.4223 0.0000
Pd1 0.0000 0.1572 0.0000
Pt1 0.0000 0.3506 0.5000
Pt2 0.0000 0.5000 0.5000

# 6
Computed, not measured: a relaxed structure of Zn2Pd7Pt3 at the PBE-GGA level of DFT.

Values from the calculation:
DFT formation energy ... -0.047 eV/atom
D(E_F) ... 30.5 states/eV per cell
Energy relative to the lowest polymorph listed for this composition ... 40.0 meV/atom

Cell lengths 3.9519, 26.3628, 3.8328 Å; angles 90.00, 90.00, 90.00 degrees
Space group Cmmm (No. 65)
One atom of each set of equivalent atoms:
Zn1 0.0000 0.1516 0.0000
Pd1 0.0000 0.0000 0.0000
Pd2 0.0000 0.0767 0.5000
Pd3 0.0000 0.2816 0.0000
Pd4 0.0000 0.4227 0.0000
Pt1 0.0000 0.3493 0.5000
Pt2 0.0000 0.5000 0.5000

# 7
Computed, not measured: a relaxed structure of Zn2PdPt8 at the PBE-GGA level of DFT.

Values from the calculation:
DFT formation energy ... -0.048 eV/atom
D(E_F) ... 22.5 states/eV per cell
Energy relative to the lowest polymorph listed for this composition ... 0.0 meV/atom

Cell lengths 8.1053, 10.7004, 4.0441 Å; angles 90.00, 90.11, 90.00 degrees
Space group C2/m (No. 12)
One atom of each set of equivalent atoms:
Zn1 0.0000 0.1183 0.0000
Pd1 0.0000 0.5000 0.5000
Pt1 0.0000 0.2543 0.5000
Pt2 0.1679 0.0000 0.4983
Pt3 0.1775 0.3649 0.0011

# 8
Computed, not measured: a relaxed structure of ZnPd8Pt6 at the PBE-GGA level of DFT.

Values from the calculation:
DFT formation energy ... 0.127 eV/atom
D(E_F) ... 33.0 states/eV per cell
Energy relative to the lowest polymorph listed for this composition ... 9.8 meV/atom

Cell lengths 7.4179, 7.4179, 5.3398 Å; angles 90.00, 90.00, 120.00 degrees
Space group P-3 (No. 147)
One atom of each set of equivalent atoms:
Zn1 0.0000 0.0000 0.0000
Pd1 0.0340 0.6814 0.6029
Pd2 0.3333 0.6667 0.2365
Pt1 0.0322 0.3545 0.8937

# 9
Computed, not measured: a relaxed structure of Zn3Pd2Pt3 at the PBE-GGA level of DFT.

Values from the calculation:
DFT formation energy ... -0.435 eV/atom
D(E_F) ... 6.7 states/eV per cell

Cell lengths 3.7338, 4.0562, 15.7325 Å; angles 90.00, 90.00, 90.00 degrees
Space group Immm (No. 71)
One atom of each set of equivalent atoms:
Zn1 0.0000 0.0000 0.0000
Zn2 0.0000 0.5000 0.1273
Pd1 0.0000 0.0000 0.2550
Pt1 0.0000 0.0000 0.5000
Pt2 0.0000 0.5000 0.3780

# 10
Computed, not measured: a relaxed structure of ZnPdPt at the PBE-GGA level of DFT.

Values from the calculation:
DFT formation energy ... -0.420 eV/atom
D(E_F) ... 2.2 states/eV per cell
Energy relative to the lowest polymorph listed for this composition ... 7.4 meV/atom

Cell lengths 2.8277, 2.8277, 11.1101 Å; angles 90.00, 90.00, 90.00 degrees
Space group I4mm (No. 107)
One atom of each set of equivalent atoms:
Zn1 0.0000 0.0000 0.0000
Pd1 0.0000 0.0000 0.3425
Pt1 0.0000 0.0000 0.6591

# 11
Computed, not measured: a relaxed structure of Zn2PdPt8 at the PBE-GGA level of DFT.

Values from the calculation:
DFT formation energy ... 0.034 eV/atom
D(E_F) ... 22.5 states/eV per cell
Energy relative to the lowest polymorph listed for this composition ... 81.8 meV/atom

Cell lengths 12.4767, 6.6471, 4.7517 Å; angles 90.00, 108.86, 90.00 degrees
Space group C2/m (No. 12)
One atom of each set of equivalent atoms:
Zn1 0.1530 0.0000 0.4932
Pd1 0.0000 0.0000 0.0000
Pt1 0.0804 0.2948 0.7663
Pt2 0.1246 0.5000 0.3001
Pt3 0.2269 0.0000 0.0511

# 12
Computed, not measured: a relaxed structure of ZnPd3Pt at the PBE-GGA level of DFT.

Values from the calculation:
DFT formation energy ... 0.690 eV/atom
D(E_F) ... 3.7 states/eV per cell
Energy relative to the lowest polymorph listed for this composition ... 959.3 meV/atom

Cell lengths 4.5419, 4.5419, 4.5419 Å; angles 90.00, 90.00, 90.00 degrees
Space group Pm-3m (No. 221)
One atom of each set of equivalent atoms:
Zn1 0.0000 0.0000 0.0000
Pd1 0.0000 0.0000 0.5000
Pt1 0.5000 0.5000 0.5000

Record order is preserved below.
Energy: -3.629 -4.823 -5.158 -3.131 -3.444 -4.799 -5.145 -5.144 -4.476 -4.590 -5.063 -3.889 eV per atom
Record order is preserved below.
Spin magnetization: 0.00 0.00 0.00 0.00 0.00 0.00 0.00 0.00 0.00 0.00 0.00 0.00 μB/cell